The following is a GGA+U calculation of K3PuMn2O6 after structural relaxation, from Alexandria via LeMat-Bulk.

Results
Crystal system: monoclinic
DFT total energy: -7.132 eV/atom
D(E_F): 9.7 states/eV/f.u.
Calculated volume: 15.0 Å³ per atom

Cell: 5.7927 5.7927 6.4737 Å, 98.44 98.44 120.12°
Element x y z (fractional)
K 0.1742 0.8258 0.5000
K 0.8258 0.1742 0.5000
K 0.5000 0.5000 0.5000
Pu 0.0000 0.0000 0.0000
Mn 0.3336 0.6664 0.0000
Mn 0.6664 0.3336 0.0000
O 0.9376 0.6174 0.8148
O 0.7432 0.7432 0.1880
O 0.0624 0.3826 0.1852
O 0.6174 0.9376 0.8148
O 0.2568 0.2568 0.8120
O 0.3826 0.0624 0.1852